A geometry-optimized AcPm3Ru structure, computed with PBE-GGA.

POSCAR file:
```
AcPm3Ru
1.0
-3.8402 0.0939 -4.0549
1.1244 -5.3405 -1.1886
-3.8970 -1.6334 3.6528
Ac Pm Ru
1 3 1
Cartesian
-3.3064 -3.4400 -0.7953
-1.9485 -0.8167 1.8264
-1.9201 0.0470 -2.0274
0.5622 -2.6703 -0.5943
0.0000 0.0000 0.0000
```

Results
Total magnetization = 0.579 μB/cell
Symmetry = Pm-3m
Mass density = 7.271 g cm⁻³
Distance to the lowest polymorph of the same formula = 120 meV/atom